1.
GeHPd6 GGA-PBE optimized geometry; magnetization = 0.0 μB per formula unit; E = -5.014 eV/atom; volume = 14.5 A^3/atom
1.0
5.282 0.000 0.000
-2.641 4.616 0.000
-2.600 -1.536 4.750
Ge H Pd
1 1 6
direct
0.000 0.000 0.000
0.000 0.500 0.500
0.187 0.479 0.265
0.213 0.295 0.735
0.442 0.921 0.734
0.558 0.079 0.266
0.787 0.705 0.265
0.813 0.521 0.735

***

2.
Ge2H2Pd7 GGA-PBE optimized geometry; magnetization = 0.0 μB per formula unit; E = -4.989 eV/atom; volume = 13.6 A^3/atom
1.0
3.936 -3.932 0.000
3.936 3.932 0.000
-1.148 0.000 4.829
Ge H Pd
2 2 7
direct
0.191 0.809 0.000
0.809 0.191 0.000
0.225 0.225 0.452
0.775 0.775 0.548
0.000 0.000 0.500
0.136 0.499 0.282
0.360 0.360 0.790
0.499 0.136 0.282
0.501 0.864 0.718
0.640 0.640 0.210
0.864 0.501 0.718

***

3.
Ge2HPd8 GGA-PBE optimized geometry; magnetization = 0.0 μB per formula unit; E = -5.202 eV/atom; volume = 14.7 A^3/atom
1.0
7.045 -2.129 0.000
7.045 2.129 0.000
-1.188 0.000 5.371
Ge H Pd
2 1 8
direct
0.150 0.150 0.154
0.850 0.850 0.846
0.500 0.500 0.500
0.029 0.029 0.761
0.207 0.207 0.609
0.328 0.328 0.092
0.405 0.405 0.635
0.595 0.595 0.365
0.672 0.672 0.908
0.793 0.793 0.391
0.971 0.971 0.239

***

4.
GeH6Pd12 GGA-PBE optimized geometry; magnetization = 0.0 μB per formula unit; E = -4.684 eV/atom; volume = 11.6 A^3/atom
1.0
5.403 3.119 2.177
-5.403 3.119 2.177
0.000 -6.239 2.177
Ge H Pd
1 6 12
direct
0.000 0.000 0.000
0.158 0.365 0.570
0.365 0.570 0.158
0.430 0.842 0.635
0.570 0.158 0.365
0.635 0.430 0.842
0.842 0.635 0.430
0.125 0.312 0.825
0.175 0.875 0.688
0.180 0.489 0.304
0.304 0.180 0.489
0.312 0.825 0.125
0.489 0.304 0.180
0.511 0.696 0.820
0.688 0.175 0.875
0.696 0.820 0.511
0.820 0.511 0.696
0.825 0.125 0.312
0.875 0.688 0.175

***

5.
GeHPd4 GGA-PBE optimized geometry; magnetization = 0.0 μB per formula unit; E = -5.053 eV/atom; volume = 13.7 A^3/atom
1.0
5.620 -2.715 0.000
5.620 2.715 0.000
-1.595 0.000 5.377
Ge H Pd
2 2 8
direct
0.193 0.807 0.750
0.807 0.193 0.250
0.000 0.500 0.000
0.500 0.000 0.500
0.093 0.235 0.636
0.235 0.093 0.136
0.310 0.467 0.034
0.467 0.310 0.534
0.533 0.690 0.466
0.690 0.533 0.966
0.765 0.907 0.864
0.907 0.765 0.364

***

6.
GeH2Pd2 GGA-PBE optimized geometry; magnetization = 0.0 μB per formula unit; E = -4.302 eV/atom; volume = 11.6 A^3/atom
1.0
6.337 0.000 0.000
0.000 6.337 0.000
0.000 0.000 2.895
Ge H Pd
2 4 4
direct
0.000 0.000 0.000
0.500 0.500 0.000
0.096 0.404 0.000
0.404 0.904 0.000
0.596 0.096 0.000
0.904 0.596 0.000
0.204 0.296 0.500
0.296 0.796 0.500
0.704 0.204 0.500
0.796 0.704 0.500

***

7.
GeH2Pd5 GGA-PBE optimized geometry; magnetization = 0.0 μB per formula unit; E = -4.753 eV/atom; volume = 12.6 A^3/atom
1.0
-2.003 2.742 4.583
2.003 -2.742 4.583
2.003 2.742 -4.583
Ge H Pd
1 2 5
direct
0.000 0.000 0.000
0.293 0.793 0.500
0.707 0.207 0.500
0.094 0.349 0.745
0.396 0.651 0.745
0.500 0.000 0.500
0.604 0.349 0.255
0.906 0.651 0.255

***

8.
Ge3HPd GGA-PBE optimized geometry; magnetization = 0.0 μB per formula unit; E = -4.198 eV/atom; volume = 14.9 A^3/atom
1.0
4.212 0.000 0.000
0.000 4.212 0.000
0.000 0.000 4.212
Ge H Pd
3 1 1
direct
0.000 0.000 0.500
0.000 0.500 0.000
0.500 0.000 0.000
0.000 0.000 0.000
0.500 0.500 0.500